No. 1
# SmCu3O4

A geometry-optimized SmCu3O4 structure (PBE, Alexandria via LeMat-Bulk).

Properties
* E_tot: -0.443 Ry/atom
* E_form (uncorrected): -1.419 eV per atom
* density of states at the Fermi level: 3.72 states/eV/f.u.

Cell: 5.6975 5.6975 5.6975 Å, 90.00 90.00 90.00°
Fractional positions:
O: 0.2500 0.2500 0.7500
O: 0.2500 0.7500 0.7500
Cu: 0.2500 0.0000 0.5000
Cu: 0.0000 0.5000 0.7500
Cu: 0.0000 0.5000 0.2500
Cu: 0.5000 0.7500 0.0000
O: 0.7500 0.7500 0.7500
Sm: 0.0000 0.0000 0.0000
O: 0.2500 0.2500 0.2500
O: 0.7500 0.2500 0.2500
O: 0.2500 0.7500 0.2500
Cu: 0.7500 0.0000 0.5000
Cu: 0.5000 0.2500 0.0000
O: 0.7500 0.7500 0.2500
O: 0.7500 0.2500 0.7500
Sm: 0.5000 0.5000 0.5000

No. 2
# AcPr8Sm4

A geometry-optimized AcPr8Sm4 structure (PBE, Alexandria via LeMat-Bulk).

Properties
* E_tot: -0.317 Ry/atom
* density of states at the Fermi level: 23.51 states/eV/f.u.

Cell: 11.9499 11.9499 7.9984 Å, 90.00 138.33 120.00°
Fractional positions:
Pr: 0.6692 0.8346 0.0003
Sm: 0.5000 0.0000 0.0000
Pr: 0.3308 0.1654 0.9997
Pr: 0.1656 0.8346 0.0002
Sm: 0.5000 0.5000 0.0000
Pr: 0.5311 0.7655 0.2966
Pr: 0.1656 0.3310 0.0003
Sm: 0.0000 0.5000 0.0000
Ac: 0.0000 0.5000 0.5000
Sm: 0.0000 0.0000 0.0000
Pr: 0.8344 0.1654 0.9998
Pr: 0.4689 0.2345 0.7034
Pr: 0.8344 0.6690 0.9997

No. 3
# SrSeN2F

A geometry-optimized SrSeN2F structure (PBE, Alexandria via LeMat-Bulk).

Properties
* relative energy among the computed polymorphs: 0 meV/atom
* E_tot: -0.366 Ry/atom
* E_form (uncorrected): -0.239 eV per atom
* density of states at the Fermi level: 2.65 states/eV/f.u.

Cell: 3.9179 3.9179 4.6296 Å, 90.00 90.00 90.00°
Fractional positions:
Sr: 0.5000 0.5000 0.5000
Se: 0.0000 0.0000 0.0000
N: 0.0000 0.5000 0.0000
N: 0.5000 0.0000 0.0000
F: 0.0000 0.0000 0.5000